Entry from the Alexandria database: a relaxed structure of Sc3VCr (PBE).

Cell: 4.8812 4.8812 4.8812 Å, 90.00 90.00 90.00°
With the nearest neighbours (Å) after each atom.
Atoms (fractional coordinates):
Sc 0.0000 0.0000 0.5000  2 V 2.44
Sc 0.0000 0.5000 0.0000  2 V 2.44
Sc 0.5000 0.0000 0.0000  2 V 2.44
V 0.0000 0.0000 0.0000  6 Sc 2.44
Cr 0.5000 0.5000 0.5000  12 Sc 3.45

* energy relative to the lowest polymorph listed for this composition: 0.244 eV per formula unit
* ΔH_f (0 K): 772 meV per atom
* total magnetization: 3.71 μB per cell